No. 1
# Nd4ErTm3 (PBE-GGA, relaxed)
data_Nd4ErTm3
_chemical_formula_sum 'Nd8 Er2 Tm6'
_cell_length_a 11.4973
_cell_length_b 7.3097
_cell_length_c 6.2773
_cell_angle_alpha 90.00
_cell_angle_beta 90.00
_cell_angle_gamma 90.00
_space_group_name_H-M_alt 'P m n 21'
_space_group_IT_number 31
_space_group_name_Hall 'P 2ac -2'
loop_
_atom_site_label
_atom_site_type_symbol
_atom_site_fract_x
_atom_site_fract_y
_atom_site_fract_z
_atom_site_occupancy
Nd1 Nd 0.0000 0.1291 0.0000 1
Nd2 Nd 0.0000 0.8708 0.4982 1
Nd3 Nd 0.2494 0.8713 0.8372 1
Er1 Er 0.0000 0.3800 0.5020 1
Tm1 Tm 0.0000 0.6193 0.0018 1
Tm2 Tm 0.2500 0.3804 0.8350 1
# energy above the most stable polymorph in this dataset = 0.00 kcal/mol of atoms
# ΔE_f = 0.223 eV/f.u.
# density = 7.875 Mg/m³
# electronic total energy = -4.60 eV per atom
# size of the total moment = 0.00 μB per atom


No. 2
# NdEr3Tm7 (PBE-GGA, relaxed)
data_NdEr3Tm7
_chemical_formula_sum 'Nd1 Er3 Tm7'
_cell_length_a 6.9689
_cell_length_b 6.9689
_cell_length_c 8.5108
_cell_angle_alpha 90.00
_cell_angle_beta 90.00
_cell_angle_gamma 120.00
_space_group_name_H-M_alt 'P 3 m 1'
_space_group_IT_number 156
_space_group_name_Hall 'P 3 -2"'
loop_
_atom_site_label
_atom_site_type_symbol
_atom_site_fract_x
_atom_site_fract_y
_atom_site_fract_z
_atom_site_occupancy
Nd1 Nd 0.0000 0.0000 0.0000 1
Er1 Er 0.1673 0.3347 0.3372 1
Tm1 Tm 0.0025 0.5012 0.9997 1
Tm2 Tm 0.3314 0.1657 0.6694 1
Tm3 Tm 0.3333 0.6667 0.6704 1
# energy above the most stable polymorph in this dataset = 0.99 kcal/mol of atoms
# ΔE_f = 2.225 eV/f.u.
# density = 8.483 Mg/m³
# electronic total energy = -4.32 eV per atom
# size of the total moment = 0.00 μB per atom


No. 3
# Nd12Er5Tm2 (PBE-GGA, relaxed)
data_Nd12Er5Tm2
_chemical_formula_sum 'Nd24 Er10 Tm4'
_cell_length_a 17.9329
_cell_length_b 11.7249
_cell_length_c 6.2209
_cell_angle_alpha 90.00
_cell_angle_beta 102.34
_cell_angle_gamma 90.00
_space_group_name_H-M_alt 'C 1 2/m 1'
_space_group_IT_number 12
_space_group_name_Hall '-C 2y'
loop_
_atom_site_label
_atom_site_type_symbol
_atom_site_fract_x
_atom_site_fract_y
_atom_site_fract_z
_atom_site_occupancy
Nd1 Nd 0.0567 0.0000 0.2736 1
Nd2 Nd 0.1038 0.2527 0.6173 1
Nd3 Nd 0.1183 0.5000 0.0062 1
Nd4 Nd 0.1962 0.2422 0.1977 1
Er1 Er 0.0000 0.5000 0.5000 1
Er2 Er 0.1784 0.0000 0.8598 1
Er3 Er 0.2166 0.5000 0.5575 1
Tm1 Tm 0.0000 0.2667 0.0000 1
# energy above the most stable polymorph in this dataset = 0.00 kcal/mol of atoms
# ΔE_f = 1.916 eV/f.u.
# density = 7.551 Mg/m³
# electronic total energy = -4.58 eV per atom
# size of the total moment = 0.00 μB per atom


No. 4
# Nd4ErTm4 (PBE-GGA, relaxed)
data_Nd4ErTm4
_chemical_formula_sum 'Nd8 Er2 Tm8'
_cell_length_a 10.7440
_cell_length_b 10.7440
_cell_length_c 5.0357
_cell_angle_alpha 90.00
_cell_angle_beta 90.00
_cell_angle_gamma 90.00
_space_group_name_H-M_alt 'I 4/m m m'
_space_group_IT_number 139
_space_group_name_Hall '-I 4 2'
loop_
_atom_site_label
_atom_site_type_symbol
_atom_site_fract_x
_atom_site_fract_y
_atom_site_fract_z
_atom_site_occupancy
Nd1 Nd 0.1666 0.1666 0.0000 1
Er1 Er 0.0000 0.0000 0.5000 1
Tm1 Tm 0.0000 0.3357 0.5000 1
# energy above the most stable polymorph in this dataset = 0.00 kcal/mol of atoms
# ΔE_f = 0.205 eV/f.u.
# density = 8.113 Mg/m³
# electronic total energy = -4.59 eV per atom
# size of the total moment = 0.00 μB per atom


No. 5
# Nd2ErTm6 (PBE-GGA, relaxed)
data_Nd2ErTm6
_chemical_formula_sum 'Nd8 Er4 Tm24'
_cell_length_a 13.2948
_cell_length_b 11.6344
_cell_length_c 9.0056
_cell_angle_alpha 90.00
_cell_angle_beta 125.66
_cell_angle_gamma 90.00
_space_group_name_H-M_alt 'C 1 2/c 1'
_space_group_IT_number 15
_space_group_name_Hall '-C 2yc'
loop_
_atom_site_label
_atom_site_type_symbol
_atom_site_fract_x
_atom_site_fract_y
_atom_site_fract_z
_atom_site_occupancy
Nd1 Nd 0.1912 0.0925 0.4340 1
Er1 Er 0.0000 0.3278 0.2500 1
Tm1 Tm 0.0336 0.1314 0.9598 1
Tm2 Tm 0.0976 0.4100 0.6852 1
Tm3 Tm 0.2261 0.3357 0.1400 1
# energy above the most stable polymorph in this dataset = 0.00 kcal/mol of atoms
# ΔE_f = 0.655 eV/f.u.
# density = 8.624 Mg/m³
# electronic total energy = -4.47 eV per atom
# size of the total moment = 0.00 μB per atom


No. 6
# Nd3Er3Tm2 (PBE-GGA, relaxed)
data_Nd3Er3Tm2
_chemical_formula_sum 'Nd6 Er6 Tm4'
_cell_length_a 5.0330
_cell_length_b 5.0551
_cell_length_c 20.1902
_cell_angle_alpha 90.00
_cell_angle_beta 90.00
_cell_angle_gamma 90.00
_space_group_name_H-M_alt 'I m m m'
_space_group_IT_number 71
_space_group_name_Hall '-I 2 2'
loop_
_atom_site_label
_atom_site_type_symbol
_atom_site_fract_x
_atom_site_fract_y
_atom_site_fract_z
_atom_site_occupancy
Nd1 Nd 0.0000 0.0000 0.0000 1
Nd2 Nd 0.0000 0.5000 0.1257 1
Er1 Er 0.0000 0.0000 0.5000 1
Er2 Er 0.0000 0.5000 0.3728 1
Tm1 Tm 0.0000 0.0000 0.2493 1
# energy above the most stable polymorph in this dataset = 0.00 kcal/mol of atoms
# ΔE_f = 0.203 eV/f.u.
# density = 8.226 Mg/m³
# electronic total energy = -4.59 eV per atom
# size of the total moment = 0.00 μB per atom


No. 7
# NdEr4Tm7 (PBE-GGA, relaxed)
data_NdEr4Tm7
_chemical_formula_sum 'Nd2 Er8 Tm14'
_cell_length_a 11.9795
_cell_length_b 5.7816
_cell_length_c 12.4841
_cell_angle_alpha 90.00
_cell_angle_beta 117.95
_cell_angle_gamma 90.00
_space_group_name_H-M_alt 'C 1 2/m 1'
_space_group_IT_number 12
_space_group_name_Hall '-C 2y'
loop_
_atom_site_label
_atom_site_type_symbol
_atom_site_fract_x
_atom_site_fract_y
_atom_site_fract_z
_atom_site_occupancy
Nd1 Nd 0.0000 0.0000 0.0000 1
Er1 Er 0.1310 0.5000 0.7742 1
Er2 Er 0.2490 0.5000 0.3158 1
Tm1 Tm 0.0000 0.5000 0.0000 1
Tm2 Tm 0.0584 0.0000 0.3309 1
Tm3 Tm 0.1359 0.5000 0.5045 1
Tm4 Tm 0.2113 0.0000 0.9227 1
# energy above the most stable polymorph in this dataset = 4.78 kcal/mol of atoms
# ΔE_f = 3.473 eV/f.u.
# density = 8.678 Mg/m³
# electronic total energy = -4.24 eV per atom
# size of the total moment = 0.00 μB per atom


No. 8
# Nd3ErTm (PBE-GGA, relaxed)
data_Nd3ErTm
_chemical_formula_sum 'Nd24 Er8 Tm8'
_cell_length_a 14.7460
_cell_length_b 9.7477
_cell_length_c 11.8700
_cell_angle_alpha 90.00
_cell_angle_beta 128.21
_cell_angle_gamma 90.00
_space_group_name_H-M_alt 'C 1 2/c 1'
_space_group_IT_number 15
_space_group_name_Hall '-C 2yc'
loop_
_atom_site_label
_atom_site_type_symbol
_atom_site_fract_x
_atom_site_fract_y
_atom_site_fract_z
_atom_site_occupancy
Nd1 Nd 0.1219 0.1059 0.0841 1
Nd2 Nd 0.1627 0.2450 0.5959 1
Nd3 Nd 0.2256 0.4215 0.0469 1
Er1 Er 0.0739 0.4439 0.1796 1
Tm1 Tm 0.0000 0.1080 0.2500 1
Tm2 Tm 0.0000 0.2463 0.7500 1
# energy above the most stable polymorph in this dataset = 0.00 kcal/mol of atoms
# ΔE_f = 0.364 eV/f.u.
# density = 7.619 Mg/m³
# electronic total energy = -4.59 eV per atom
# size of the total moment = 0.00 μB per atom


No. 9
# Nd12ErTm7 (PBE-GGA, relaxed)
data_Nd12ErTm7
_chemical_formula_sum 'Nd36 Er3 Tm21'
_cell_length_a 19.6243
_cell_length_b 19.6243
_cell_length_c 6.2017
_cell_angle_alpha 90.00
_cell_angle_beta 90.00
_cell_angle_gamma 120.00
_space_group_name_H-M_alt 'R -3'
_space_group_IT_number 148
_space_group_name_Hall '-R 3'
loop_
_atom_site_label
_atom_site_type_symbol
_atom_site_fract_x
_atom_site_fract_y
_atom_site_fract_z
_atom_site_occupancy
Nd1 Nd 0.0003 0.4129 0.0005 1
Nd2 Nd 0.0986 0.5497 0.4645 1
Er1 Er 0.0000 0.0000 0.5000 1
Tm1 Tm 0.0000 0.0000 0.0000 1
Tm2 Tm 0.0804 0.9186 0.2943 1
# ΔE_f = 4.648 eV/f.u.
# density = 7.420 Mg/m³
# electronic total energy = -4.42 eV per atom
# size of the total moment = 0.00 μB per atom


Q: Look up the density of the ninth one.
A: 7.420 Mg/m³


Q: The lowest electronic total energy belongs to which entry?
A: Nd4ErTm3